[1]
SbAs2C2 (PBE-GGA, optimized geometry); energy = -25.06 eV/f.u.; formation energy (no corrections) = 1.36 eV per atom; D(E_F) = 0.498 states/eV per atom; ΔE to the lowest computed polymorph = 0 meV per atom; symmetry = P4/mbm
1.0
-4.129 4.616 4.239
-2.771 -5.898 3.723
2.350 0.202 2.069
C As Sb
4 4 2
Direct
0.759 0.259 0.000
0.741 0.759 0.000
0.241 0.741 0.000
0.259 0.241 0.000
0.135 0.635 0.500
0.635 0.865 0.500
0.865 0.365 0.500
0.365 0.135 0.500
0.500 0.500 0.000
0.000 0.000 0.000

=====

[2]
SbAsC3 (PBE-GGA, optimized geometry); energy = -24.27 eV/f.u.; formation energy (no corrections) = 2.43 eV per atom; D(E_F) = 0.807 states/eV per atom; ΔE to the lowest computed polymorph = 0 meV per atom; symmetry = Pm-3m
1.0
-0.489 0.339 3.958
-3.678 -1.546 -0.322
1.502 -3.677 0.500
As C Sb
1 3 1
Direct
0.000 0.000 0.000
0.000 0.500 0.000
0.500 0.000 0.000
0.000 0.000 0.500
0.500 0.500 0.500

=====

[3]
Sb3AsC (PBE-GGA, optimized geometry); energy = -16.23 eV/f.u.; formation energy (no corrections) = 2.00 eV per atom; D(E_F) = 1.164 states/eV per atom; ΔE to the lowest computed polymorph = 1002 meV per atom; symmetry = Pm-3m
1.0
-3.601 -1.500 -3.695
3.976 -0.967 -3.483
0.307 -5.068 1.758
Sb C As
3 1 1
Direct
0.000 0.500 0.000
0.500 0.000 0.000
0.000 0.000 0.500
0.500 0.500 0.500
0.000 0.000 0.000

=====

[4]
SbAs2C (PBE-GGA, optimized geometry); energy = -16.26 eV/f.u.; formation energy (no corrections) = 1.60 eV per atom; D(E_F) = 0.785 states/eV per atom; ΔE to the lowest computed polymorph = 774 meV per atom; symmetry = Fm-3m
1.0
0.000 3.321 3.321
3.321 0.000 3.321
3.321 3.321 0.000
As C Sb
2 1 1
Direct
0.750 0.750 0.750
0.250 0.250 0.250
0.000 0.000 0.000
0.500 0.500 0.500

=====

[5]
SbAsC3 (PBE-GGA, optimized geometry); energy = -21.97 eV/f.u.; formation energy (no corrections) = 2.89 eV per atom; D(E_F) = 0.743 states/eV per atom; ΔE to the lowest computed polymorph = 461 meV per atom; symmetry = Pm-3m
1.0
4.250 0.000 0.000
0.000 4.250 0.000
0.000 0.000 4.250
C Sb As
3 1 1
Direct
0.000 0.000 0.500
0.500 0.000 0.000
0.000 0.500 0.000
0.000 0.000 0.000
0.500 0.500 0.500

=====

[6]
Sb2AsC (PBE-GGA, optimized geometry); energy = -16.45 eV/f.u.; formation energy (no corrections) = 1.42 eV per atom; D(E_F) = 0.725 states/eV per atom; ΔE to the lowest computed polymorph = 562 meV per atom; symmetry = Fm-3m
1.0
-3.677 1.767 2.507
-1.069 4.659 -0.279
-3.979 1.412 -2.259
C Sb As
1 2 1
Direct
0.000 0.000 0.000
0.750 0.750 0.750
0.250 0.250 0.250
0.500 0.500 0.500

=====

[7]
SbAs2CSe (PBE-GGA, optimized geometry); energy = -21.22 eV/f.u.; formation energy (no corrections) = 0.98 eV per atom; D(E_F) = 0.635 states/eV per atom; ΔE to the lowest computed polymorph = 0 meV per atom; symmetry = P4/mmm
1.0
-3.125 -1.959 -2.389
0.262 -3.554 2.572
-3.346 1.834 2.875
Se As Sb C
1 2 1 1
Direct
0.000 0.000 0.500
0.000 0.500 0.000
0.500 0.000 0.000
0.500 0.500 0.500
0.000 0.000 0.000

=====

[8]
SbAs2CSe (PBE-GGA, optimized geometry); energy = -15.25 eV/f.u.; formation energy (no corrections) = 2.18 eV per atom; D(E_F) = 1.249 states/eV per atom; ΔE to the lowest computed polymorph = 1195 meV per atom; symmetry = P4/mmm
1.0
5.377 0.000 0.000
0.000 5.377 0.000
0.000 0.000 5.242
Se As C Sb
1 2 1 1
Direct
0.000 0.000 0.500
0.500 0.000 0.000
0.000 0.500 0.000
0.500 0.500 0.500
0.000 0.000 0.000

=====

[9]
Si2SbAsC (PBE-GGA, optimized geometry); energy = -19.77 eV/f.u.; formation energy (no corrections) = 1.81 eV per atom; D(E_F) = 0.767 states/eV per atom; symmetry = P4/mmm
1.0
5.236 0.000 0.000
0.000 4.081 0.000
0.000 0.000 5.236
Si Sb C As
2 1 1 1
Direct
0.000 0.000 0.500
0.500 0.000 0.000
0.000 0.000 0.000
0.000 0.500 0.000
0.500 0.500 0.500

=====

[10]
SiSbAs2C (PBE-GGA, optimized geometry); energy = -23.75 eV/f.u.; formation energy (no corrections) = 0.86 eV per atom; D(E_F) = 0.550 states/eV per atom; symmetry = P4/mmm
1.0
-1.220 4.901 -0.375
-3.448 -0.821 0.484
0.577 0.527 5.004
Sb Si As C
1 1 2 1
Direct
0.500 0.500 0.500
0.000 0.000 0.000
0.500 0.000 0.000
0.000 0.000 0.500
0.000 0.500 0.000

=====

[11]
SnSbAs2C (PBE-GGA, optimized geometry); energy = -15.95 eV/f.u.; formation energy (no corrections) = 2.14 eV per atom; D(E_F) = 1.243 states/eV per atom; symmetry = P4/mmm
1.0
5.252 0.000 0.000
0.000 5.888 0.000
0.000 0.000 5.252
As Sn Sb C
2 1 1 1
Direct
0.000 0.000 0.500
0.500 0.000 0.000
0.000 0.500 0.000
0.000 0.000 0.000
0.500 0.500 0.500

=====

[12]
SbTe2AsC (PBE-GGA, optimized geometry); energy = -18.98 eV/f.u.; formation energy (no corrections) = 1.06 eV per atom; D(E_F) = 0.573 states/eV per atom; ΔE to the lowest computed polymorph = 0 meV per atom; symmetry = P4/mmm
1.0
4.787 0.000 0.000
0.000 4.787 0.000
0.000 0.000 4.792
As Sb Te C
1 1 2 1
Direct
0.500 0.500 0.500
0.000 0.000 0.500
0.000 0.500 0.000
0.500 0.000 0.000
0.000 0.000 0.000

=====

[13]
SbTe2AsC (PBE-GGA, optimized geometry); energy = -14.71 eV/f.u.; formation energy (no corrections) = 1.91 eV per atom; D(E_F) = 1.204 states/eV per atom; ΔE to the lowest computed polymorph = 855 meV per atom; symmetry = P4/mmm
1.0
5.516 0.000 0.000
0.000 5.516 0.000
0.000 0.000 5.274
C As Sb Te
1 1 1 2
Direct
0.500 0.500 0.500
0.000 0.000 0.000
0.000 0.000 0.500
0.500 0.000 0.000
0.000 0.500 0.000

=====

[14]
TiSbAsC2 (PBE-GGA, optimized geometry); energy = -25.49 eV/f.u.; formation energy (no corrections) = 1.92 eV per atom; D(E_F) = 0.691 states/eV per atom; ΔE to the lowest computed polymorph = 616 meV per atom; symmetry = P4/mmm
1.0
3.955 0.000 0.000
0.000 5.592 0.000
0.000 0.000 3.955
Sb C Ti As
1 2 1 1
Direct
0.000 0.500 0.000
0.000 0.000 0.500
0.500 0.000 0.000
0.500 0.500 0.500
0.000 0.000 0.000

=====

[15]
TiSbAsC2 (PBE-GGA, optimized geometry); energy = -28.57 eV/f.u.; formation energy (no corrections) = 1.31 eV per atom; D(E_F) = 0.566 states/eV per atom; ΔE to the lowest computed polymorph = 0 meV per atom; symmetry = P4/mmm
1.0
-3.370 2.296 0.181
-1.417 -2.428 4.413
2.020 2.793 2.186
Ti As C Sb
1 1 2 1
Direct
0.000 0.000 0.000
0.000 0.500 0.000
0.000 0.000 0.500
0.500 0.000 0.000
0.500 0.500 0.500

=====

[16]
Tm5Sb2AsC (PBE-GGA, optimized geometry); energy = -52.12 eV/f.u.; formation energy (no corrections) = -0.85 eV per atom; D(E_F) = 0.694 states/eV per atom; symmetry = P4/mmm
1.0
4.558 0.000 0.000
0.000 4.558 0.000
0.000 0.000 10.745
Sb Tm As C
2 5 1 1
Direct
0.500 0.500 0.288
0.500 0.500 0.712
0.500 0.500 0.000
0.000 0.000 0.259
0.000 0.000 0.741
0.000 0.500 0.500
0.500 0.000 0.500
0.000 0.000 0.000
0.000 0.000 0.500

=====

[17]
ScAs3C (PBE-GGA, optimized geometry); energy relative to the elements = 545 meV/atom; energy = -26.78 eV/f.u.; D(E_F) = 0.793 states/eV per atom; ΔE to the lowest computed polymorph = 0 meV per atom; symmetry = Pm-3m
1.0
-3.867 -1.716 -1.216
1.104 -3.822 1.884
-1.790 1.350 3.788
Sc As C
1 3 1
Direct
0.500 0.500 0.500
0.500 0.000 0.000
0.000 0.000 0.500
0.000 0.500 0.000
0.000 0.000 0.000

=====

[18]
Sc2AsC (PBE-GGA, optimized geometry); energy relative to the elements = -423 meV/atom; energy = -28.23 eV/f.u.; D(E_F) = 0.702 states/eV per atom; symmetry = R-3m
1.0
-0.983 7.796 -1.630
-1.463 7.706 1.694
1.655 7.839 0.450
C Sc As
1 2 1
Direct
0.500 0.500 0.500
0.884 0.884 0.884
0.116 0.116 0.116
0.000 0.000 0.000

=====

[19]
Sc6AsC4 (PBE-GGA, optimized geometry); energy relative to the elements = -602 meV/atom; energy = -86.15 eV/f.u.; D(E_F) = 0.325 states/eV per atom; symmetry = Cmcm
1.0
3.391 0.000 0.000
-1.695 5.644 0.000
0.000 0.000 17.348
As Sc C
2 12 8
Direct
0.653 0.306 0.250
0.347 0.694 0.750
0.226 0.453 0.579
0.774 0.547 0.079
0.667 0.334 0.750
0.500 0.000 0.500
0.226 0.453 0.921
0.774 0.547 0.421
0.967 0.933 0.649
0.500 0.000 0.000
0.967 0.933 0.851
0.033 0.067 0.149
0.033 0.067 0.351
0.333 0.666 0.250
0.596 0.193 0.870
0.136 0.271 0.042
0.136 0.271 0.458
0.404 0.807 0.370
0.864 0.729 0.542
0.864 0.729 0.958
0.404 0.807 0.130
0.596 0.193 0.630

=====

[20]
Sc2AsC (PBE-GGA, optimized geometry); energy relative to the elements = -524 meV/atom; energy = -28.63 eV/f.u.; D(E_F) = 0.298 states/eV per atom; symmetry = I-42d
1.0
6.561 0.000 0.000
0.000 6.561 0.000
3.281 3.281 3.208
Sc C As
4 2 2
Direct
0.561 0.125 0.250
0.375 0.439 0.750
0.875 0.811 0.750
0.189 0.625 0.250
0.250 0.750 0.500
0.500 0.500 0.000
0.000 0.000 0.000
0.750 0.250 0.500